{
  "formula": "NaLaTl2V",
  "functional": "GGA-PBE",
  "state": "optimized geometry",
  "formation_energy_ev_per_atom": 0.6369,
  "cell": [[-1.819, 3.178, -3.820], [-2.716, -3.917, -1.965], [-4.113, 1.319, 3.056]],
  "species": ["Na", "Tl", "Tl", "V", "La"],
  "frac_coords": [[0.000, 0.000, 0.000], [0.000, 0.000, 0.500], [0.500, 0.000, 0.000], [0.000, 0.500, 0.000], [0.500, 0.500, 0.500]]
}

***

{
  "formula": "NaLaYTl",
  "functional": "GGA-PBE",
  "state": "optimized geometry",
  "formation_energy_ev_per_atom": -0.1065,
  "cell": [[5.553, 0.000, 0.000], [2.776, 4.809, 0.000], [2.776, 1.603, 4.534]],
  "species": ["Tl", "Y", "La", "Na"],
  "frac_coords": [[0.250, 0.250, 0.250], [0.000, 0.000, 0.000], [0.500, 0.500, 0.500], [0.750, 0.750, 0.750]]
}

***

{
  "formula": "NaLaY2Tl4",
  "functional": "GGA-PBE",
  "state": "optimized geometry",
  "formation_energy_ev_per_atom": -0.3188,
  "cell": [[5.390, 0.000, 0.000], [2.695, 4.668, 0.000], [2.695, 1.556, 9.068]],
  "species": ["Na", "Y", "La", "Tl", "Tl", "Tl", "Y", "Tl"],
  "frac_coords": [[0.500, 0.500, 0.500], [0.245, 0.245, 0.264], [0.000, 0.000, 0.000], [0.622, 0.622, 0.134], [0.127, 0.127, 0.619], [0.378, 0.378, 0.866], [0.755, 0.755, 0.736], [0.873, 0.873, 0.381]]
}

***

no.,DFT total energy (eV/cell)
1,-16.91
2,-15.50
3,-31.19